(1)
# GGA-PBE TlCdIn, relaxed
data_TlCdIn
_chemical_formula_sum 'Tl2 Cd2 In2'
_cell_length_a 4.9255
_cell_length_b 4.9255
_cell_length_c 11.7915
_cell_angle_alpha 90.00
_cell_angle_beta 90.00
_cell_angle_gamma 120.00
_symmetry_space_group_name_H-M 'P 63/m m c'
_symmetry_Int_Tables_number 194
_symmetry_space_group_name_Hall '-P 6c 2c'
loop_
_atom_site_label
_atom_site_fract_x
_atom_site_fract_y
_atom_site_fract_z
_atom_site_occupancy
Tl1 0.0000 0.0000 0.0000 1
Cd1 0.3333 0.6667 0.2500 1
In1 0.0000 0.0000 0.2500 1
# Raw total energy = -1.637 eV/atom
# Volume = 247.74 Å³ per cell

(2)
# GGA-PBE Rb3Cd2Ge4, relaxed
data_Rb3Cd2Ge4
_chemical_formula_sum 'Rb3 Cd2 Ge4'
_cell_length_a 4.492
_cell_length_b 7.191
_cell_length_c 9.982
_cell_angle_alpha 72.79
_cell_angle_beta 78.90
_cell_angle_gamma 72.62
_symmetry_space_group_name_H-M 'P -1'
_symmetry_Int_Tables_number 2
loop_
_symmetry_equiv_pos_as_xyz
'x,y,z'
'-x,-y,-z'
loop_
_atom_site_label
_atom_site_fract_x
_atom_site_fract_y
_atom_site_fract_z
_atom_site_occupancy
Rb1 0.000 0.000 0.000 1
Rb2 0.299 0.296 0.642 1
Cd1 0.467 0.279 0.250 1
Ge1 0.015 0.873 0.615 1
Ge2 0.307 0.413 0.969 1
# Raw total energy = -2.594 eV/atom
# Volume = 292.02 Å³ per cell

(3)
# GGA-PBE CuNiIr, relaxed
data_CuNiIr
_chemical_formula_sum 'Cu2 Ni2 Ir2'
_cell_length_a 2.645
_cell_length_b 2.645
_cell_length_c 10.819
_cell_angle_alpha 90.00
_cell_angle_beta 90.00
_cell_angle_gamma 90.00
_symmetry_space_group_name_H-M 'I 4 m m'
_symmetry_Int_Tables_number 107
_symmetry_space_group_name_Hall 'I 4 -2'
loop_
_atom_site_label
_atom_site_fract_x
_atom_site_fract_y
_atom_site_fract_z
_atom_site_occupancy
Cu1 0.000 0.000 0.000 1
Ni1 0.000 0.000 0.339 1
Ir1 0.000 0.000 0.677 1
# Raw total energy = -6.148 eV/atom
# Volume = 75.69 Å³ per cell

(4)
# GGA-PBE BaEu3Rh, relaxed
data_BaEu3Rh
_chemical_formula_sum 'Ba1 Eu3 Rh1'
_cell_length_a 5.794
_cell_length_b 5.794
_cell_length_c 5.794
_cell_angle_alpha 90.00
_cell_angle_beta 90.00
_cell_angle_gamma 90.00
_symmetry_space_group_name_H-M 'P m -3 m'
_symmetry_Int_Tables_number 221
_symmetry_space_group_name_Hall '-P 4 2 3'
loop_
_atom_site_label
_atom_site_fract_x
_atom_site_fract_y
_atom_site_fract_z
_atom_site_occupancy
Ba1 0.000 0.000 0.000 1
Eu1 0.000 0.500 0.500 1
Rh1 0.500 0.500 0.500 1
# Raw total energy = -8.239 eV/atom
# Volume = 194.48 Å³ per cell